Run one
Computed, not measured: an optimized crystal structure of Cr2MoHOs at the GGA-PBE level of DFT.

Cell: 3.8430 3.8430 3.8057 Å, 90.00 90.00 90.00°
Fractional positions:
Cr: 0.0000 0.5000 0.0000
Cr: 0.5000 0.0000 0.0000
Mo: 0.0000 0.0000 0.5000
H: 0.5000 0.5000 0.0000
Os: 0.5000 0.5000 0.5000

Computed properties:
Total moment in μB/cell: 0.0

***

Run two
Computed, not measured: an optimized crystal structure of Cr2MoHOs at the GGA-PBE level of DFT.

Cell: 3.8080 3.8080 3.8675 Å, 90.00 90.00 90.00°
Fractional positions:
Cr: 0.0000 0.5000 0.0000
Cr: 0.5000 0.0000 0.0000
Mo: 0.0000 0.0000 0.5000
H: 0.0000 0.0000 0.0000
Os: 0.5000 0.5000 0.5000

Computed properties:
Total moment in μB/cell: 0.0

***

Run three
Computed, not measured: an optimized crystal structure of Cr2MoHOs at the GGA-PBE level of DFT.

Cell: 4.6046 4.6046 3.1450 Å, 90.00 90.00 90.00°
Fractional positions:
Cr: 0.0000 0.5000 0.0000
Cr: 0.5000 0.0000 0.0000
Mo: 0.0000 0.0000 0.5000
H: 0.5000 0.5000 0.5000
Os: 0.5000 0.5000 0.0000

Computed properties:
Total moment in μB/cell: 0.0

***

Stability ranking, top entry: run two; the second entry is 0.025 eV/atom less favorable.

***

Run one
Computed, not measured: an optimized crystal structure of Cr2ReMoH at the GGA-PBE level of DFT.

Cell: 3.8093 3.8093 3.9161 Å, 90.00 90.00 90.00°
Fractional positions:
Cr: 0.0000 0.5000 0.0000
Cr: 0.5000 0.0000 0.0000
Re: 0.0000 0.0000 0.5000
Mo: 0.5000 0.5000 0.5000
H: 0.5000 0.5000 0.0000

Computed properties:
Total moment in μB/cell: 0.0

***

Run two
Computed, not measured: an optimized crystal structure of Cr2ReMoH at the GGA-PBE level of DFT.

Cell: 3.8291 3.8291 3.8858 Å, 90.00 90.00 90.00°
Fractional positions:
Cr: 0.0000 0.5000 0.0000
Cr: 0.5000 0.0000 0.0000
Re: 0.0000 0.0000 0.5000
Mo: 0.5000 0.5000 0.5000
H: 0.0000 0.0000 0.0000

Computed properties:
Total moment in μB/cell: 0.0

***

Stability ranking, top entry: run one; the second entry is 0.025 eV/atom less favorable.

***

Run one
Computed, not measured: an optimized crystal structure of CrMo2HRh at the GGA-PBE level of DFT.

Cell: 3.9479 3.9479 3.9001 Å, 90.00 90.00 90.00°
Fractional positions:
Cr: 0.0000 0.0000 0.0000
Mo: 0.0000 0.5000 0.5000
Mo: 0.5000 0.0000 0.5000
H: 0.5000 0.5000 0.5000
Rh: 0.5000 0.5000 0.0000

Computed properties:
Total moment in μB/cell: 1.3

***

Run two
Computed, not measured: an optimized crystal structure of CrMo2HRh at the GGA-PBE level of DFT.

Cell: 3.9503 3.9503 3.8319 Å, 90.00 90.00 90.00°
Fractional positions:
Cr: 0.0000 0.0000 0.0000
Mo: 0.0000 0.5000 0.5000
Mo: 0.5000 0.0000 0.5000
H: 0.0000 0.0000 0.5000
Rh: 0.5000 0.5000 0.0000

Computed properties:
Total moment in μB/cell: 0.0

***

Stability ranking, top entry: run two; the second entry is 0.041 eV/atom less favorable.

***

Run one
Computed, not measured: an optimized crystal structure of CrH2N at the GGA-PBE level of DFT.

Cell: 2.7072 2.7072 15.1099 Å, 90.00 90.00 90.00°
Fractional positions:
Cr: 0.0000 0.2500 0.3750
Cr: 0.0000 0.7500 0.6250
Cr: 0.5000 0.2500 0.1250
Cr: 0.5000 0.7500 0.8750
H: 0.0000 0.0000 0.5000
H: 0.0000 0.5000 0.5000
H: 0.2500 0.2500 0.2500
H: 0.2500 0.7500 0.7500
H: 0.5000 0.0000 0.0000
H: 0.5000 0.5000 0.0000
H: 0.7500 0.2500 0.2500
H: 0.7500 0.7500 0.7500
N: 0.0000 0.2500 0.8750
N: 0.0000 0.7500 0.1250
N: 0.5000 0.2500 0.6250
N: 0.5000 0.7500 0.3750

Computed properties:
Total moment in μB/cell: 4.7

***

Run two
Computed, not measured: an optimized crystal structure of CrH2N at the GGA-PBE level of DFT.

Cell: 4.6036 4.6036 4.6036 Å, 90.00 90.00 90.00°
Fractional positions:
Cr: 0.0000 0.0000 0.0000
Cr: 0.0000 0.5000 0.5000
Cr: 0.5000 0.0000 0.5000
Cr: 0.5000 0.5000 0.0000
H: 0.2500 0.2500 0.2500
H: 0.2500 0.2500 0.7500
H: 0.2500 0.7500 0.2500
H: 0.2500 0.7500 0.7500
H: 0.7500 0.2500 0.2500
H: 0.7500 0.2500 0.7500
H: 0.7500 0.7500 0.2500
H: 0.7500 0.7500 0.7500
N: 0.0000 0.0000 0.5000
N: 0.0000 0.5000 0.0000
N: 0.5000 0.0000 0.0000
N: 0.5000 0.5000 0.5000

Computed properties:
Total moment in μB/cell: 11.6

***

Stability ranking, top entry: run one; the second entry is 0.622 eV/atom less favorable.

***

Run one
Computed, not measured: an optimized crystal structure of CrHN2 at the GGA-PBE level of DFT.

Cell: 2.7439 2.7439 14.3120 Å, 90.00 90.00 120.00°
Fractional positions:
Cr: 0.0000 0.0000 0.0000
Cr: 0.3333 0.6667 0.6667
Cr: 0.6667 0.3333 0.3333
H: 0.0000 0.0000 0.5000
H: 0.3333 0.6667 0.1667
H: 0.6667 0.3333 0.8333
N: 0.0000 0.0000 0.4117
N: 0.0000 0.0000 0.5883
N: 0.3333 0.6667 0.0783
N: 0.3333 0.6667 0.2550
N: 0.6667 0.3333 0.7450
N: 0.6667 0.3333 0.9217

Computed properties:
Total moment in μB/cell: 0.0

***

Run two
Computed, not measured: an optimized crystal structure of CrHN2 at the GGA-PBE level of DFT.

Cell: 4.8182 4.8182 4.8182 Å, 90.00 90.00 90.00°
Fractional positions:
Cr: 0.0000 0.0000 0.0000
Cr: 0.0000 0.5000 0.5000
Cr: 0.5000 0.0000 0.5000
Cr: 0.5000 0.5000 0.0000
H: 0.0000 0.0000 0.5000
H: 0.0000 0.5000 0.0000
H: 0.5000 0.0000 0.0000
H: 0.5000 0.5000 0.5000
N: 0.2500 0.2500 0.2500
N: 0.2500 0.2500 0.7500
N: 0.2500 0.7500 0.2500
N: 0.2500 0.7500 0.7500
N: 0.7500 0.2500 0.2500
N: 0.7500 0.2500 0.7500
N: 0.7500 0.7500 0.2500
N: 0.7500 0.7500 0.7500

Computed properties:
Total moment in μB/cell: 5.9

***

Stability ranking, top entry: run one; the second entry is 1.100 eV/atom less favorable.

***

Run one
Computed, not measured: an optimized crystal structure of CrHN2 at the GGA-PBE level of DFT.

Cell: 2.7165 2.7165 14.8932 Å, 90.00 90.00 120.00°
Fractional positions:
Cr: 0.0000 0.0000 0.0000
Cr: 0.3333 0.6667 0.6667
Cr: 0.6667 0.3333 0.3333
H: 0.0000 0.0000 0.5000
H: 0.3333 0.6667 0.1667
H: 0.6667 0.3333 0.8333
N: 0.0000 0.0000 0.1177
N: 0.0000 0.0000 0.8823
N: 0.3333 0.6667 0.5489
N: 0.3333 0.6667 0.7844
N: 0.6667 0.3333 0.2156
N: 0.6667 0.3333 0.4511

Computed properties:
Total moment in μB/cell: 0.0

***

Run two
Computed, not measured: an optimized crystal structure of CrHN2 at the GGA-PBE level of DFT.

Cell: 4.1098 4.1098 8.2158 Å, 90.00 90.00 90.00°
Fractional positions:
Cr: 0.0000 0.0000 0.0000
Cr: 0.0000 0.5000 0.2500
Cr: 0.5000 0.0000 0.7500
Cr: 0.5000 0.5000 0.5000
H: 0.0000 0.0000 0.5000
H: 0.0000 0.5000 0.7500
H: 0.5000 0.0000 0.2500
H: 0.5000 0.5000 0.0000
N: 0.2463 0.2500 0.6250
N: 0.2500 0.7463 0.8750
N: 0.2500 0.7537 0.3750
N: 0.2537 0.2500 0.1250
N: 0.7463 0.7500 0.1250
N: 0.7500 0.2463 0.3750
N: 0.7500 0.2537 0.8750
N: 0.7537 0.7500 0.6250

Computed properties:
Total moment in μB/cell: 3.8

***

Stability ranking, top entry: run two; the second entry is 1.239 eV/atom less favorable.

***

Run one
Computed, not measured: an optimized crystal structure of CrHN at the GGA-PBE level of DFT.

Cell: 3.3010 3.3010 4.9379 Å, 90.00 90.00 90.00°
Fractional positions:
Cr: 0.2500 0.7500 0.0000
Cr: 0.7500 0.2500 0.0000
H: 0.2500 0.2500 0.4400
H: 0.7500 0.7500 0.5600
N: 0.2500 0.2500 0.2316
N: 0.7500 0.7500 0.7684

Computed properties:
Total moment in μB/cell: 0.0

***

Run two
Computed, not measured: an optimized crystal structure of CrHN at the GGA-PBE level of DFT.

Cell: 4.4899 2.9168 5.1672 Å, 90.00 106.75 90.00°
Fractional positions:
Cr: 0.2343 0.2500 0.0359
Cr: 0.7657 0.7500 0.9641
H: 0.3532 0.7500 0.8297
H: 0.6468 0.2500 0.1703
N: 0.1689 0.7500 0.2178
N: 0.8311 0.2500 0.7822

Computed properties:
Total moment in μB/cell: 1.6

***

Stability ranking, top entry: run one; the second entry is 0.219 eV/atom less favorable.

***

Run one
Computed, not measured: an optimized crystal structure of Cr3HN at the GGA-PBE level of DFT.

Cell: 5.0725 5.0725 8.4220 Å, 112.72 112.72 67.64°
Fractional positions:
Cr: 0.1580 0.1707 0.8264
Cr: 0.1707 0.1580 0.3264
Cr: 0.2228 0.7671 0.9945
Cr: 0.2329 0.7772 0.5055
Cr: 0.3218 0.3350 0.6626
Cr: 0.3350 0.3218 0.1626
Cr: 0.6650 0.6782 0.8374
Cr: 0.6782 0.6650 0.3374
Cr: 0.7671 0.2228 0.4945
Cr: 0.7772 0.2329 0.0055
Cr: 0.8293 0.8420 0.6736
Cr: 0.8420 0.8293 0.1736
H: 0.3761 0.4106 0.3906
H: 0.4106 0.3761 0.8906
H: 0.5894 0.6239 0.1094
H: 0.6239 0.5894 0.6094
N: 0.0000 0.5000 0.0000
N: 0.2448 0.7552 0.7500
N: 0.5000 0.0000 0.5000
N: 0.7552 0.2448 0.2500

Computed properties:
Total moment in μB/cell: 0.0

***

Run two
Computed, not measured: an optimized crystal structure of Cr3HN at the GGA-PBE level of DFT.

Cell: 3.7354 3.7354 3.7354 Å, 90.00 90.00 90.00°
Fractional positions:
Cr: 0.0000 0.0000 0.5000
Cr: 0.0000 0.5000 0.0000
Cr: 0.5000 0.0000 0.0000
H: 0.5000 0.5000 0.5000
N: 0.0000 0.0000 0.0000

Computed properties:
Total moment in μB/cell: 0.0

***

Stability ranking, top entry: run one; the second entry is 0.574 eV/atom less favorable.

***

Run one
Computed, not measured: an optimized crystal structure of CrHSN2 at the GGA-PBE level of DFT.

Cell: 3.8139 3.8139 3.0379 Å, 90.00 90.00 90.00°
Fractional positions:
Cr: 0.0000 0.0000 0.0000
H: 0.5000 0.5000 0.5000
S: 0.5000 0.5000 0.0000
N: 0.0000 0.5000 0.5000
N: 0.5000 0.0000 0.5000

Computed properties:
Total moment in μB/cell: 2.4

***

Run two
Computed, not measured: an optimized crystal structure of CrHSN2 at the GGA-PBE level of DFT.

Cell: 3.5482 3.5482 4.8791 Å, 90.00 90.00 90.00°
Fractional positions:
Cr: 0.0000 0.0000 0.0000
H: 0.5000 0.5000 0.5000
S: 0.0000 0.0000 0.5000
N: 0.0000 0.5000 0.0000
N: 0.5000 0.0000 0.0000

Computed properties:
Total moment in μB/cell: 0.5

***

Stability ranking, top entry: run two; the second entry is 0.664 eV/atom less favorable.

***

Run one
Computed, not measured: an optimized crystal structure of CrHSe2N at the GGA-PBE level of DFT.

Cell: 4.7934 4.7934 3.5067 Å, 90.00 90.00 90.00°
Fractional positions:
Cr: 0.0000 0.0000 0.0000
H: 0.5000 0.5000 0.5000
Se: 0.0000 0.5000 0.0000
Se: 0.5000 0.0000 0.0000
N: 0.0000 0.0000 0.5000

Computed properties:
Total moment in μB/cell: 0.0

***

Run two
Computed, not measured: an optimized crystal structure of CrHSe2N at the GGA-PBE level of DFT.

Cell: 4.8613 4.8613 2.7344 Å, 90.00 90.00 90.00°
Fractional positions:
Cr: 0.0000 0.0000 0.0000
H: 0.5000 0.5000 0.5000
Se: 0.0000 0.5000 0.5000
Se: 0.5000 0.0000 0.5000
N: 0.5000 0.5000 0.0000

Computed properties:
Total moment in μB/cell: 3.9

***

Stability ranking, top entry: run one; the second entry is 0.246 eV/atom less favorable.

***

Run one
Computed, not measured: an optimized crystal structure of Na3CrH at the GGA-PBE level of DFT.

Cell: 5.8832 5.8832 5.8832 Å, 90.00 90.00 90.00°
Fractional positions:
Na: 0.0000 0.0000 0.5000
Na: 0.0000 0.5000 0.0000
Na: 0.5000 0.0000 0.0000
Cr: 0.0000 0.0000 0.0000
H: 0.5000 0.5000 0.5000

Computed properties:
Total moment in μB/cell: 6.0

***

Run two
Computed, not measured: an optimized crystal structure of Na3CrH at the GGA-PBE level of DFT.

Cell: 4.8635 4.8635 4.8635 Å, 90.00 90.00 90.00°
Fractional positions:
Na: 0.0000 0.0000 0.5000
Na: 0.0000 0.5000 0.0000
Na: 0.5000 0.0000 0.0000
Cr: 0.5000 0.5000 0.5000
H: 0.0000 0.0000 0.0000

Computed properties:
Total moment in μB/cell: 5.7

***

Stability ranking, top entry: run two; the second entry is 0.557 eV/atom less favorable.

***

Run one
Computed, not measured: an optimized crystal structure of NaCrH3 at the GGA-PBE level of DFT.

Cell: 3.6690 3.6690 3.6690 Å, 90.00 90.00 90.00°
Fractional positions:
Na: 0.0000 0.0000 0.0000
Cr: 0.5000 0.5000 0.5000
H: 0.0000 0.5000 0.5000
H: 0.5000 0.0000 0.5000
H: 0.5000 0.5000 0.0000

Computed properties:
Total moment in μB/cell: 3.8

***

Run two
Computed, not measured: an optimized crystal structure of NaCrH3 at the GGA-PBE level of DFT.

Cell: 4.6391 4.6391 5.8888 Å, 105.02 105.02 46.70°
Fractional positions:
Na: 0.1093 0.1093 0.3705
Na: 0.8907 0.8907 0.6295
Cr: 0.3358 0.3358 0.0448
Cr: 0.6642 0.6642 0.9552
H: 0.1285 0.1285 0.9460
H: 0.3694 0.3694 0.3382
H: 0.4444 0.4444 0.8325
H: 0.5556 0.5556 0.1675
H: 0.6306 0.6306 0.6618
H: 0.8715 0.8715 0.0540

Computed properties:
Total moment in μB/cell: 0.7

***

Run three
Computed, not measured: an optimized crystal structure of NaCrH3 at the GGA-PBE level of DFT.

Cell: 5.4585 5.4585 5.4585 Å, 57.03 57.03 57.03°
Fractional positions:
Na: 0.0000 0.0000 0.0000
Na: 0.2315 0.2315 0.2315
Cr: 0.5744 0.5744 0.5744
Cr: 0.7713 0.7713 0.7713
H: 0.1609 0.6981 0.6981
H: 0.5365 0.5365 0.9406
H: 0.5365 0.9406 0.5365
H: 0.6981 0.1609 0.6981
H: 0.6981 0.6981 0.1609
H: 0.9406 0.5365 0.5365

Computed properties:
Total moment in μB/cell: 6.8

***

Run four
Computed, not measured: an optimized crystal structure of NaCrH3 at the GGA-PBE level of DFT.

Cell: 3.7325 3.7325 3.7325 Å, 90.00 90.00 90.00°
Fractional positions:
Na: 0.0000 0.0000 0.0000
Cr: 0.5000 0.5000 0.5000
H: 0.0000 0.0000 0.5000
H: 0.0000 0.5000 0.0000
H: 0.5000 0.0000 0.0000

Computed properties:
Total moment in μB/cell: 4.0

***

Stability ranking, top entry: run one; the second entry is 0.028 eV/atom less favorable.